[1]
{
  "formula": "Mg2Si3",
  "functional": "PBE",
  "state": "optimized geometry",
  "lattice_angstrom": [[0.051, -4.053, -3.320], [3.378, -2.945, -2.714], [2.971, -15.937, 12.848]],
  "species": ["Si", "Si", "Si", "Si", "Si", "Si", "Si", "Si", "Si", "Si", "Si", "Si", "Mg", "Mg", "Mg", "Mg", "Mg", "Mg", "Mg", "Mg"],
  "fractional_positions": [[0.363, 0.363, 0.792], [0.741, 0.741, 0.868], [0.155, 0.155, 0.627], [0.484, 0.484, 0.674], [0.516, 0.516, 0.326], [0.100, 0.100, 0.948], [0.259, 0.259, 0.132], [0.664, 0.664, 0.532], [0.900, 0.900, 0.052], [0.637, 0.637, 0.208], [0.336, 0.336, 0.468], [0.845, 0.845, 0.373], [0.623, 0.623, 0.053], [0.085, 0.085, 0.428], [0.915, 0.915, 0.572], [0.948, 0.948, 0.177], [0.377, 0.377, 0.947], [0.052, 0.052, 0.823], [0.255, 0.255, 0.284], [0.745, 0.745, 0.716]],
  "polymorph_energy_mev_per_atom": 102,
  "sg": "No. 12",
  "raw_formation_energy_ev_per_atom": 0.131
}

[2]
{
  "formula": "Nd6In3Pb",
  "functional": "PBE",
  "state": "optimized geometry",
  "lattice_angstrom": [[-0.678, 0.186, -6.933], [-1.242, -10.310, -0.156], [-8.029, 6.518, 0.960]],
  "species": ["In", "In", "In", "In", "In", "In", "Nd", "Nd", "Nd", "Nd", "Nd", "Nd", "Nd", "Nd", "Nd", "Nd", "Nd", "Nd", "Pb", "Pb"],
  "fractional_positions": [[0.646, 0.586, 0.414], [0.989, 0.683, 0.905], [0.146, 0.414, 0.586], [0.489, 0.905, 0.683], [0.989, 0.095, 0.317], [0.489, 0.317, 0.095], [0.290, 0.707, 0.293], [0.554, 0.632, 0.746], [0.054, 0.746, 0.632], [0.554, 0.254, 0.368], [0.054, 0.368, 0.254], [0.308, 0.091, 0.539], [0.769, 0.020, 0.980], [0.808, 0.909, 0.461], [0.808, 0.539, 0.091], [0.790, 0.293, 0.707], [0.308, 0.461, 0.909], [0.269, 0.980, 0.020], [0.580, 0.849, 0.151], [0.080, 0.151, 0.849]],
  "sg": "No. 36",
  "ef_mev_per_atom": -291.4
}

[3]
{
  "formula": "Pm3SmDy2Er6",
  "functional": "PBE",
  "state": "optimized geometry",
  "lattice_angstrom": [[6.170, 0.001, 0.002], [-3.083, 5.344, 0.002], [-1.029, -1.782, 11.550]],
  "species": ["Er", "Er", "Er", "Er", "Er", "Er", "Dy", "Dy", "Sm", "Pm", "Pm", "Pm"],
  "fractional_positions": [[0.583, 0.917, 0.752], [0.417, 0.083, 0.248], [0.917, 0.583, 0.752], [0.251, 0.251, 0.752], [0.749, 0.749, 0.248], [0.083, 0.417, 0.248], [0.667, 0.333, 0.000], [0.333, 0.667, 0.000], [0.000, 0.000, 0.000], [0.833, 0.167, 0.500], [0.500, 0.500, 0.500], [0.167, 0.833, 0.500]],
  "sg": "No. 12",
  "ef_mev_per_atom": 17.4
}

[4]
{
  "formula": "MgIrF",
  "functional": "PBE",
  "state": "optimized geometry",
  "lattice_angstrom": [[4.472, -0.002, 0.000], [0.003, 6.851, 0.001], [0.000, -0.001, 2.822]],
  "species": ["Mg", "Mg", "Ir", "Ir", "F", "F"],
  "fractional_positions": [[0.431, 0.463, 0.713], [0.931, 0.099, 0.213], [0.944, 0.763, 0.712], [0.444, 0.798, 0.212], [0.764, 0.266, 0.713], [0.264, 0.295, 0.213]],
  "polymorph_energy_mev_per_atom": 0,
  "sg": "No. 31",
  "raw_formation_energy_ev_per_atom": -1.672
}

[5]
{
  "formula": "Np4S6Br",
  "functional": "PBE",
  "state": "optimized geometry",
  "lattice_angstrom": [[3.838, 0.000, 0.000], [0.000, 8.451, 0.000], [0.000, -4.225, 7.318]],
  "species": ["Np", "Np", "Np", "Np", "S", "S", "S", "S", "S", "S", "Br"],
  "fractional_positions": [[0.500, 0.818, 0.635], [0.500, 0.818, 0.182], [0.500, 0.365, 0.182], [0.000, 0.333, 0.667], [0.500, 0.195, 0.390], [0.000, 0.541, 0.082], [0.000, 0.918, 0.459], [0.500, 0.195, 0.805], [0.500, 0.610, 0.805], [0.000, 0.541, 0.459], [0.000, 0.000, 0.000]],
  "sg": "No. 187",
  "raw_formation_energy_ev_per_atom": -1.255
}

[6]
{
  "formula": "Ba2TlCo",
  "functional": "PBE",
  "state": "optimized geometry",
  "lattice_angstrom": [[-2.109, -3.992, 1.666], [3.710, -2.712, -1.799], [4.915, -0.730, 4.472]],
  "species": ["Tl", "Co", "Ba", "Ba"],
  "fractional_positions": [[0.500, 0.574, 0.727], [0.000, 0.665, 0.546], [0.000, 0.989, 0.896], [0.500, 0.272, 0.331]],
  "sg": "No. 38",
  "ef_mev_per_atom": 125.0
}

Repeat the third record exactly.
{
  "formula": "Pm3SmDy2Er6",
  "functional": "PBE",
  "state": "optimized geometry",
  "lattice_angstrom": [[6.170, 0.001, 0.002], [-3.083, 5.344, 0.002], [-1.029, -1.782, 11.550]],
  "species": ["Er", "Er", "Er", "Er", "Er", "Er", "Dy", "Dy", "Sm", "Pm", "Pm", "Pm"],
  "fractional_positions": [[0.583, 0.917, 0.752], [0.417, 0.083, 0.248], [0.917, 0.583, 0.752], [0.251, 0.251, 0.752], [0.749, 0.749, 0.248], [0.083, 0.417, 0.248], [0.667, 0.333, 0.000], [0.333, 0.667, 0.000], [0.000, 0.000, 0.000], [0.833, 0.167, 0.500], [0.500, 0.500, 0.500], [0.167, 0.833, 0.500]],
  "sg": "No. 12",
  "ef_mev_per_atom": 17.4
}

- Number 6 is which compound?
  Ba2TlCo